#w
# PBE Pm8Dy2Tm, optimized geometry
# size of the total moment: 0.0000 μB per atom
data_Pm8Dy2Tm
_chemical_formula_sum 'Pm16 Dy4 Tm2'
_cell_length_a 16.704
_cell_length_b 6.782
_cell_length_c 6.714
_cell_angle_alpha 90.00
_cell_angle_beta 100.48
_cell_angle_gamma 90.00
_symmetry_space_group_name_H-M 'C 1 2/m 1'
_symmetry_Int_Tables_number 12
_symmetry_space_group_name_Hall '-C 2y'
loop_
_atom_site_label
_atom_site_type_symbol
_atom_site_fract_x
_atom_site_fract_y
_atom_site_fract_z
Pm1 Pm 0.087 0.238 0.402
Pm2 Pm 0.093 0.000 0.913
Pm3 Pm 0.244 0.500 0.317
Dy1 Dy 0.196 0.500 0.805
Tm1 Tm 0.000 0.500 0.000



#x
# PBE Pm8Dy2Tm, optimized geometry
# size of the total moment: 0.0000 μB per atom
data_Pm8Dy2Tm
_chemical_formula_sum 'Pm16 Dy4 Tm2'
_cell_length_a 14.161
_cell_length_b 6.776
_cell_length_c 8.554
_cell_angle_alpha 90.00
_cell_angle_beta 113.37
_cell_angle_gamma 90.00
_symmetry_space_group_name_H-M 'C 1 2/m 1'
_symmetry_Int_Tables_number 12
_symmetry_space_group_name_Hall '-C 2y'
loop_
_atom_site_label
_atom_site_type_symbol
_atom_site_fract_x
_atom_site_fract_y
_atom_site_fract_z
Pm1 Pm 0.090 0.240 0.378
Pm2 Pm 0.108 0.000 0.991
Pm3 Pm 0.242 0.000 0.771
Dy1 Dy 0.149 0.500 0.755
Tm1 Tm 0.000 0.500 0.000



What is the stability order? It is #w, #x, from most stable to least stable.



#w
# PBE Pm3Dy4Tm4, optimized geometry
# size of the total moment: 0.0000 μB per atom
data_Pm3Dy4Tm4
_chemical_formula_sum 'Pm3 Dy4 Tm4'
_cell_length_a 3.478
_cell_length_b 5.623
_cell_length_c 18.141
_cell_angle_alpha 98.87
_cell_angle_beta 95.49
_cell_angle_gamma 90.00
_symmetry_space_group_name_H-M 'P -1'
_symmetry_Int_Tables_number 2
_symmetry_space_group_name_Hall '-P 1'
loop_
_atom_site_label
_atom_site_type_symbol
_atom_site_fract_x
_atom_site_fract_y
_atom_site_fract_z
Pm1 Pm 0.000 0.000 0.000
Pm2 Pm 0.137 0.638 0.274
Dy1 Dy 0.319 0.818 0.637
Dy2 Dy 0.455 0.453 0.908
Tm1 Tm 0.266 0.266 0.532
Tm2 Tm 0.409 0.908 0.818



#x
# PBE Pm3Dy4Tm4, optimized geometry
# size of the total moment: 0.0000 μB per atom
data_Pm3Dy4Tm4
_chemical_formula_sum 'Pm3 Dy4 Tm4'
_cell_length_a 3.551
_cell_length_b 6.136
_cell_length_c 16.661
_cell_angle_alpha 90.04
_cell_angle_beta 90.02
_cell_angle_gamma 106.67
_symmetry_space_group_name_H-M 'P -1'
_symmetry_Int_Tables_number 2
_symmetry_space_group_name_Hall '-P 1'
loop_
_atom_site_label
_atom_site_type_symbol
_atom_site_fract_x
_atom_site_fract_y
_atom_site_fract_z
Pm1 Pm 0.000 0.000 0.000
Pm2 Pm 0.181 0.363 0.726
Dy1 Dy 0.364 0.728 0.455
Dy2 Dy 0.454 0.906 0.818
Tm1 Tm 0.091 0.181 0.365
Tm2 Tm 0.273 0.544 0.091



What is the stability order? It is #x, #w, from most stable to least stable.



#w
# PBE Pm2Dy5Tm, optimized geometry
# size of the total moment: 0.0000 μB per atom
data_Pm2Dy5Tm
_chemical_formula_sum 'Pm4 Dy10 Tm2'
_cell_length_a 7.127
_cell_length_b 14.253
_cell_length_c 5.028
_cell_angle_alpha 90.00
_cell_angle_beta 90.00
_cell_angle_gamma 90.00
_symmetry_space_group_name_H-M 'P b a m'
_symmetry_Int_Tables_number 55
_symmetry_space_group_name_Hall '-P 2 2ab'
loop_
_atom_site_label
_atom_site_type_symbol
_atom_site_fract_x
_atom_site_fract_y
_atom_site_fract_z
Pm1 Pm 0.249 0.125 0.000
Dy1 Dy 0.000 0.500 0.500
Dy2 Dy 0.001 0.750 0.500
Dy3 Dy 0.249 0.375 0.000
Tm1 Tm 0.000 0.000 0.500



#x
# PBE Pm2Dy5Tm, optimized geometry
# size of the total moment: 0.0000 μB per atom
data_Pm2Dy5Tm
_chemical_formula_sum 'Pm4 Dy10 Tm2'
_cell_length_a 6.658
_cell_length_b 8.820
_cell_length_c 9.559
_cell_angle_alpha 88.62
_cell_angle_beta 85.76
_cell_angle_gamma 67.94
_symmetry_space_group_name_H-M 'P -1'
_symmetry_Int_Tables_number 2
_symmetry_space_group_name_Hall '-P 1'
loop_
_atom_site_label
_atom_site_type_symbol
_atom_site_fract_x
_atom_site_fract_y
_atom_site_fract_z
Pm1 Pm 0.130 0.111 0.071
Pm2 Pm 0.241 0.891 0.571
Dy1 Dy 0.160 0.675 0.251
Dy2 Dy 0.187 0.256 0.387
Dy3 Dy 0.201 0.484 0.909
Dy4 Dy 0.318 0.484 0.593
Dy5 Dy 0.444 0.745 0.886
Tm1 Tm 0.441 0.121 0.751



What is the stability order? It is #w, #x, from most stable to least stable.



#w
# PBE PmDyTm2, optimized geometry
# size of the total moment: 0.0000 μB per atom
data_PmDyTm2
_chemical_formula_sum 'Pm4 Dy4 Tm8'
_cell_length_a 6.919
_cell_length_b 6.897
_cell_length_c 10.984
_cell_angle_alpha 90.00
_cell_angle_beta 90.05
_cell_angle_gamma 90.00
_symmetry_space_group_name_H-M 'P 1 2/c 1'
_symmetry_Int_Tables_number 13
_symmetry_space_group_name_Hall '-P 2yc'
loop_
_atom_site_label
_atom_site_type_symbol
_atom_site_fract_x
_atom_site_fract_y
_atom_site_fract_z
Pm1 Pm 0.126 0.126 0.387
Dy1 Dy 0.376 0.376 0.613
Tm1 Tm 0.125 0.376 0.888
Tm2 Tm 0.376 0.125 0.112



#x
# PBE PmDyTm2, optimized geometry
# size of the total moment: 0.0000 μB per atom
data_PmDyTm2
_chemical_formula_sum 'Pm1 Dy1 Tm2'
_cell_length_a 5.019
_cell_length_b 5.019
_cell_length_c 4.984
_cell_angle_alpha 90.00
_cell_angle_beta 90.00
_cell_angle_gamma 90.00
_symmetry_space_group_name_H-M 'P 4/m m m'
_symmetry_Int_Tables_number 123
_symmetry_space_group_name_Hall '-P 4 2'
loop_
_atom_site_label
_atom_site_type_symbol
_atom_site_fract_x
_atom_site_fract_y
_atom_site_fract_z
Pm1 Pm 0.000 0.000 0.000
Dy1 Dy 0.500 0.500 0.000
Tm1 Tm 0.000 0.500 0.500



What is the stability order? It is #x, #w, from most stable to least stable.



#w
# PBE Pm4DyTm7, optimized geometry
# size of the total moment: 0.0000 μB per atom
data_Pm4DyTm7
_chemical_formula_sum 'Pm4 Dy1 Tm7'
_cell_length_a 6.531
_cell_length_b 6.802
_cell_length_c 8.963
_cell_angle_alpha 84.26
_cell_angle_beta 77.15
_cell_angle_gamma 81.00
_symmetry_space_group_name_H-M 'P -1'
_symmetry_Int_Tables_number 2
_symmetry_space_group_name_Hall '-P 1'
loop_
_atom_site_label
_atom_site_type_symbol
_atom_site_fract_x
_atom_site_fract_y
_atom_site_fract_z
Pm1 Pm 0.138 0.306 0.288
Pm2 Pm 0.334 0.885 0.691
Dy1 Dy 0.500 0.500 0.000
Tm1 Tm 0.012 0.252 0.953
Tm2 Tm 0.181 0.795 0.354
Tm3 Tm 0.314 0.394 0.619
Tm4 Tm 0.500 0.000 0.000



#x
# PBE Pm4DyTm7, optimized geometry
# size of the total moment: 0.0002 μB per atom
data_Pm4DyTm7
_chemical_formula_sum 'Pm8 Dy2 Tm14'
_cell_length_a 12.055
_cell_length_b 5.843
_cell_length_c 12.716
_cell_angle_alpha 90.00
_cell_angle_beta 118.21
_cell_angle_gamma 90.00
_symmetry_space_group_name_H-M 'C 1 2/m 1'
_symmetry_Int_Tables_number 12
_symmetry_space_group_name_Hall '-C 2y'
loop_
_atom_site_label
_atom_site_type_symbol
_atom_site_fract_x
_atom_site_fract_y
_atom_site_fract_z
Pm1 Pm 0.140 0.000 0.277
Pm2 Pm 0.222 0.500 0.165
Dy1 Dy 0.000 0.500 0.500
Tm1 Tm 0.000 0.000 0.500
Tm2 Tm 0.069 0.500 0.811
Tm3 Tm 0.132 0.000 0.994
Tm4 Tm 0.212 0.500 0.424



What is the stability order? It is #w, #x, from most stable to least stable.



#w
# PBE Pm2DyTm2, optimized geometry
# size of the total moment: 0.0000 μB per atom
data_Pm2DyTm2
_chemical_formula_sum 'Pm4 Dy2 Tm4'
_cell_length_a 6.178
_cell_length_b 3.567
_cell_length_c 14.512
_cell_angle_alpha 90.00
_cell_angle_beta 90.05
_cell_angle_gamma 90.00
_symmetry_space_group_name_H-M 'C 1 2/m 1'
_symmetry_Int_Tables_number 12
_symmetry_space_group_name_Hall '-C 2y'
loop_
_atom_site_label
_atom_site_type_symbol
_atom_site_fract_x
_atom_site_fract_y
_atom_site_fract_z
Pm1 Pm 0.168 0.000 0.395
Dy1 Dy 0.000 0.500 0.000
Tm1 Tm 0.166 0.000 0.804



#x
# PBE Pm2DyTm2, optimized geometry
# size of the total moment: 0.0000 μB per atom
data_Pm2DyTm2
_chemical_formula_sum 'Pm8 Dy4 Tm8'
_cell_length_a 11.247
_cell_length_b 5.036
_cell_length_c 11.280
_cell_angle_alpha 90.00
_cell_angle_beta 90.07
_cell_angle_gamma 90.00
_symmetry_space_group_name_H-M 'C 1 2/m 1'
_symmetry_Int_Tables_number 12
_symmetry_space_group_name_Hall '-C 2y'
loop_
_atom_site_label
_atom_site_type_symbol
_atom_site_fract_x
_atom_site_fract_y
_atom_site_fract_z
Pm1 Pm 0.149 0.000 0.051
Pm2 Pm 0.249 0.000 0.747
Dy1 Dy 0.050 0.000 0.353
Tm1 Tm 0.049 0.500 0.848
Tm2 Tm 0.149 0.500 0.550



What is the stability order? It is #x, #w, from most stable to least stable.



#w
# PBE Pm4DyTm5, optimized geometry
# size of the total moment: 0.0000 μB per atom
data_Pm4DyTm5
_chemical_formula_sum 'Pm8 Dy2 Tm10'
_cell_length_a 10.287
_cell_length_b 10.287
_cell_length_c 6.188
_cell_angle_alpha 90.00
_cell_angle_beta 90.00
_cell_angle_gamma 90.00
_symmetry_space_group_name_H-M 'I 4'
_symmetry_Int_Tables_number 79
_symmetry_space_group_name_Hall 'I 4'
loop_
_atom_site_label
_atom_site_type_symbol
_atom_site_fract_x
_atom_site_fract_y
_atom_site_fract_z
Pm1 Pm 0.043 0.655 0.000
Dy1 Dy 0.000 0.000 0.767
Tm1 Tm 0.000 0.000 0.234
Tm2 Tm 0.151 0.774 0.499



#x
# PBE Pm4DyTm5, optimized geometry
# size of the total moment: 0.0000 μB per atom
data_Pm4DyTm5
_chemical_formula_sum 'Pm4 Dy1 Tm5'
_cell_length_a 3.505
_cell_length_b 8.685
_cell_length_c 11.175
_cell_angle_alpha 90.12
_cell_angle_beta 90.01
_cell_angle_gamma 101.56
_symmetry_space_group_name_H-M 'P -1'
_symmetry_Int_Tables_number 2
_symmetry_space_group_name_Hall '-P 1'
loop_
_atom_site_label
_atom_site_type_symbol
_atom_site_fract_x
_atom_site_fract_y
_atom_site_fract_z
Pm1 Pm 0.033 0.064 0.249
Pm2 Pm 0.347 0.686 0.250
Dy1 Dy 0.500 0.000 0.500
Tm1 Tm 0.172 0.346 0.048
Tm2 Tm 0.173 0.347 0.450
Tm3 Tm 0.500 0.000 0.000



What is the stability order? It is #x, #w, from most stable to least stable.



#w
# PBE Pm2Dy5Tm3, optimized geometry
# size of the total moment: 0.0000 μB per atom
data_Pm2Dy5Tm3
_chemical_formula_sum 'Pm4 Dy10 Tm6'
_cell_length_a 6.730
_cell_length_b 9.324
_cell_length_c 11.444
_cell_angle_alpha 109.66
_cell_angle_beta 105.27
_cell_angle_gamma 94.93
_symmetry_space_group_name_H-M 'P -1'
_symmetry_Int_Tables_number 2
_symmetry_space_group_name_Hall '-P 1'
loop_
_atom_site_label
_atom_site_type_symbol
_atom_site_fract_x
_atom_site_fract_y
_atom_site_fract_z
Pm1 Pm 0.092 0.324 0.331
Pm2 Pm 0.359 0.968 0.757
Dy1 Dy 0.050 0.741 0.439
Dy2 Dy 0.185 0.539 0.157
Dy3 Dy 0.275 0.753 0.961
Dy4 Dy 0.314 0.364 0.860
Dy5 Dy 0.437 0.180 0.552
Tm1 Tm 0.130 0.924 0.244
Tm2 Tm 0.225 0.147 0.055
Tm3 Tm 0.388 0.572 0.646



#x
# PBE Pm2Dy5Tm3, optimized geometry
# size of the total moment: 0.0000 μB per atom
data_Pm2Dy5Tm3
_chemical_formula_sum 'Pm8 Dy20 Tm12'
_cell_length_a 10.616
_cell_length_b 15.835
_cell_length_c 9.359
_cell_angle_alpha 90.00
_cell_angle_beta 124.10
_cell_angle_gamma 90.00
_symmetry_space_group_name_H-M 'C 1 2/c 1'
_symmetry_Int_Tables_number 15
_symmetry_space_group_name_Hall '-C 2yc'
loop_
_atom_site_label
_atom_site_type_symbol
_atom_site_fract_x
_atom_site_fract_y
_atom_site_fract_z
Pm1 Pm 0.141 0.126 0.046
Dy1 Dy 0.000 0.232 0.250
Dy2 Dy 0.000 0.273 0.750
Dy3 Dy 0.000 0.470 0.750
Dy4 Dy 0.230 0.384 0.217
Tm1 Tm 0.000 0.024 0.250
Tm2 Tm 0.158 0.380 0.548



What is the stability order? It is #w, #x, from most stable to least stable.